1.
Crystalline Ir3S8 at its relaxed geometry. Source: Alexandria, functional PBE.

## Properties
Calculated volume, Å³/cell: 558.7
N(E_F), states/eV/f.u.: 4.02
Electronic total energy, eV per atom: -5.736
Magnetic moment, μB per formula unit: 0.00

a b c (Å): 8.0336 8.0336 9.9954
angles (deg): 90.00 90.00 120.00
Space group R-3 (No. 148, hexagonal axes)
Inequivalent atoms, fractional coordinates:
Ir1 0.0000 0.5000 0.0000 (multiplicity 9)
S1 0.0000 0.0000 0.3731 (multiplicity 6)
S2 0.0209 0.7577 0.8686 (multiplicity 18)

2.
Crystalline Ir2S at its relaxed geometry. Source: Alexandria, functional PBE.

## Properties
Calculated volume, Å³/cell: 100.0
Offset from the most stable computed form, kJ/mol of atoms: 14.5
N(E_F), states/eV/f.u.: 2.53
Magnetic moment, μB per formula unit: 0.00

a b c (Å): 10.4171 2.7852 3.4616
angles (deg): 90.00 95.06 90.00
Space group Cm (No. 8)
Inequivalent atoms, fractional coordinates:
Ir1 0.0000 0.0000 0.0000 (multiplicity 2)
Ir2 0.1458 0.5000 0.5568 (multiplicity 2)
S1 0.2920 0.5000 0.0856 (multiplicity 2)

3.
Crystalline IrS at its relaxed geometry. Source: Alexandria, functional PBE.

## Properties
Calculated volume, Å³/cell: 367.6
N(E_F), states/eV/f.u.: 0.27
Electronic total energy, eV per atom: -6.318
Magnetic moment, μB per formula unit: 0.00

a b c (Å): 7.1634 7.1634 7.1634
angles (deg): 90.00 90.00 90.00
Space group I-43m (No. 217)
Inequivalent atoms, fractional coordinates:
Ir1 0.1406 0.1406 0.8594 (multiplicity 8)
S1 0.1842 0.1842 0.1842 (multiplicity 8)

4.
Crystalline Ir2S at its relaxed geometry. Source: Alexandria, functional PBE.

## Properties
Calculated volume, Å³/cell: 45.7
Offset from the most stable computed form, kJ/mol of atoms: 13.3
N(E_F), states/eV/f.u.: 2.49
Magnetic moment, μB per formula unit: 0.00

a b c (Å): 2.9620 2.9620 6.0114
angles (deg): 90.00 90.00 120.00
Space group P3m1 (No. 156)
Inequivalent atoms, fractional coordinates:
Ir1 0.0000 0.0000 0.0000 (multiplicity 1)
Ir2 0.3333 0.6667 0.3706 (multiplicity 1)
S1 0.0000 0.0000 0.6357 (multiplicity 1)

5.
Crystalline IrS at its relaxed geometry. Source: Alexandria, functional PBE.

## Properties
Calculated volume, Å³/cell: 343.0
N(E_F), states/eV/f.u.: 1.33
Electronic total energy, eV per atom: -6.426
Magnetic moment, μB per formula unit: 0.00

a b c (Å): 9.5733 9.5733 3.7430
angles (deg): 90.00 90.00 90.00
Space group I4/m (No. 87)
Inequivalent atoms, fractional coordinates:
Ir1 0.1530 0.2861 0.0000 (multiplicity 8)
S1 0.0817 0.7068 0.0000 (multiplicity 8)

6.
Crystalline IrS at its relaxed geometry. Source: Alexandria, functional PBE.

## Properties
Calculated volume, Å³/cell: 67.6
N(E_F), states/eV/f.u.: 1.56
Electronic total energy, eV per atom: -6.235
Magnetic moment, μB per formula unit: 0.00

a b c (Å): 2.8397 2.9944 7.9552
angles (deg): 90.00 90.00 90.00
Space group Amm2 (No. 38)
Inequivalent atoms, fractional coordinates:
Ir1 0.0000 0.0000 0.0000 (multiplicity 2)
S1 0.0000 0.0000 0.2884 (multiplicity 2)

7.
Crystalline IrS at its relaxed geometry. Source: Alexandria, functional PBE.

## Properties
Calculated volume, Å³/cell: 65.6
N(E_F), states/eV/f.u.: 1.16
Electronic total energy, eV per atom: -6.211
Magnetic moment, μB per formula unit: 0.00

a b c (Å): 2.8890 3.3456 6.7839
angles (deg): 90.00 90.00 90.00
Space group Imm2 (No. 44)
Inequivalent atoms, fractional coordinates:
Ir1 0.0000 0.0000 0.0000 (multiplicity 2)
S1 0.0000 0.0000 0.3595 (multiplicity 2)

8.
Crystalline Ir4S at its relaxed geometry. Source: Alexandria, functional PBE.

## Properties
Calculated volume, Å³/cell: 82.4
N(E_F), states/eV/f.u.: 9.32
Electronic total energy, eV per atom: -6.789
Magnetic moment, μB per formula unit: 0.45

a b c (Å): 4.3516 4.3516 4.3516
angles (deg): 90.00 90.00 90.00
Space group Pm-3m (No. 221)
Inequivalent atoms, fractional coordinates:
Ir1 0.0000 0.0000 0.0000 (multiplicity 1)
Ir2 0.0000 0.5000 0.5000 (multiplicity 3)
S1 0.5000 0.5000 0.5000 (multiplicity 1)

9.
Crystalline Ir2S at its relaxed geometry. Source: Alexandria, functional PBE.

## Properties
Calculated volume, Å³/cell: 98.7
Offset from the most stable computed form, kJ/mol of atoms: 14.9
N(E_F), states/eV/f.u.: 2.51
Magnetic moment, μB per formula unit: 0.00

a b c (Å): 6.7856 2.8102 6.1894
angles (deg): 90.00 123.23 90.00
Space group Cm (No. 8)
Inequivalent atoms, fractional coordinates:
Ir1 0.0000 0.0000 0.0000 (multiplicity 2)
Ir2 0.1255 0.0000 0.6688 (multiplicity 2)
S1 0.3408 0.5000 0.2495 (multiplicity 2)

10.
Crystalline Ir2S at its relaxed geometry. Source: Alexandria, functional PBE.

## Properties
Calculated volume, Å³/cell: 135.6
Offset from the most stable computed form, kJ/mol of atoms: 18.4
N(E_F), states/eV/f.u.: 3.51
Magnetic moment, μB per formula unit: 0.00

a b c (Å): 2.7740 2.7740 20.3484
angles (deg): 90.00 90.00 120.00
Space group R-3m (No. 166, hexagonal axes)
Inequivalent atoms, fractional coordinates:
Ir1 0.0000 0.0000 0.1118 (multiplicity 6)
S1 0.0000 0.0000 0.0000 (multiplicity 3)

11.
Crystalline IrS at its relaxed geometry. Source: Alexandria, functional PBE.

## Properties
Calculated volume, Å³/cell: 152.1
N(E_F), states/eV/f.u.: 1.15
Electronic total energy, eV per atom: -6.535
Magnetic moment, μB per formula unit: 0.00

a b c (Å): 6.8045 6.8045 3.2848
angles (deg): 90.00 90.00 90.00
Space group P4_2/mnm (No. 136)
Inequivalent atoms, fractional coordinates:
Ir1 0.1379 0.1379 0.0000 (multiplicity 4)
S1 0.1993 0.8007 0.0000 (multiplicity 4)

12.
Crystalline IrS at its relaxed geometry. Source: Alexandria, functional PBE.

## Properties
Calculated volume, Å³/cell: 198.1
N(E_F), states/eV/f.u.: 1.17
Electronic total energy, eV per atom: -6.486
Magnetic moment, μB per formula unit: 0.00

a b c (Å): 4.0560 9.8738 4.9460
angles (deg): 90.00 90.00 90.00
Space group Pmmn (No. 59, origin choice 2)
Inequivalent atoms, fractional coordinates:
Ir1 0.2500 0.0415 0.1818 (multiplicity 4)
Ir2 0.2500 0.7500 0.2597 (multiplicity 2)
S1 0.2500 0.2500 0.9525 (multiplicity 2)
S2 0.2500 0.5919 0.5908 (multiplicity 4)

13.
Crystalline Ir2S at its relaxed geometry. Source: Alexandria, functional PBE.

## Properties
Calculated volume, Å³/cell: 136.0
Offset from the most stable computed form, kJ/mol of atoms: 12.2
N(E_F), states/eV/f.u.: 3.44
Magnetic moment, μB per formula unit: 0.00

a b c (Å): 2.9334 2.9334 18.2490
angles (deg): 90.00 90.00 120.00
Space group R3m (No. 160, hexagonal axes)
Inequivalent atoms, fractional coordinates:
Ir1 0.0000 0.0000 0.0000 (multiplicity 3)
Ir2 0.0000 0.0000 0.4556 (multiplicity 3)
S1 0.0000 0.0000 0.8783 (multiplicity 3)

14.
Crystalline IrS at its relaxed geometry. Source: Alexandria, functional PBE.

## Properties
Calculated volume, Å³/cell: 675.3
N(E_F), states/eV/f.u.: 0.75
Electronic total energy, eV per atom: -6.375
Magnetic moment, μB per formula unit: 0.00

a b c (Å): 7.3210 7.9400 11.6173
angles (deg): 90.00 90.00 90.00
Space group Fddd (No. 70, origin choice 2)
Inequivalent atoms, fractional coordinates:
Ir1 0.1250 0.1250 0.0076 (multiplicity 16)
S1 0.1250 0.3601 0.1250 (multiplicity 16)

15.
Crystalline IrS at its relaxed geometry. Source: Alexandria, functional PBE.

## Properties
Calculated volume, Å³/cell: 272.2
N(E_F), states/eV/f.u.: 1.40
Electronic total energy, eV per atom: -6.213
Magnetic moment, μB per formula unit: 0.00

a b c (Å): 6.4804 6.4804 6.4804
angles (deg): 90.00 90.00 90.00
Space group Pm-3n (No. 223)
Inequivalent atoms, fractional coordinates:
Ir1 0.0000 0.2500 0.5000 (multiplicity 6)
S1 0.0000 0.5000 0.2500 (multiplicity 6)

16.
Crystalline IrS at its relaxed geometry. Source: Alexandria, functional PBE.

## Properties
Calculated volume, Å³/cell: 65.9
N(E_F), states/eV/f.u.: 1.36
Electronic total energy, eV per atom: -6.398
Magnetic moment, μB per formula unit: 0.00

a b c (Å): 3.0777 3.0777 6.9547
angles (deg): 90.00 90.00 90.00
Space group I-4m2 (No. 119)
Inequivalent atoms, fractional coordinates:
Ir1 0.0000 0.0000 0.0000 (multiplicity 2)
S1 0.0000 0.5000 0.7500 (multiplicity 2)

17.
Crystalline IrS at its relaxed geometry. Source: Alexandria, functional PBE.

## Properties
Calculated volume, Å³/cell: 121.3
N(E_F), states/eV/f.u.: 1.58
Electronic total energy, eV per atom: -6.086
Magnetic moment, μB per formula unit: 0.00

a b c (Å): 4.9496 4.9496 4.9496
angles (deg): 90.00 90.00 90.00
Space group Fm-3m (No. 225)
Inequivalent atoms, fractional coordinates:
Ir1 0.0000 0.0000 0.0000 (multiplicity 4)
S1 0.0000 0.0000 0.5000 (multiplicity 4)

18.
Crystalline IrS at its relaxed geometry. Source: Alexandria, functional PBE.

## Properties
Calculated volume, Å³/cell: 73.0
N(E_F), states/eV/f.u.: 1.32
Electronic total energy, eV per atom: -6.391
Magnetic moment, μB per formula unit: 0.00

a b c (Å): 5.0256 5.7458 3.5404
angles (deg): 90.00 134.42 90.00
Space group C2 (No. 5)
Inequivalent atoms, fractional coordinates:
Ir1 0.0000 0.0000 0.0000 (multiplicity 2)
S1 0.0000 0.7475 0.5000 (multiplicity 2)

19.
Crystalline Ir2S at its relaxed geometry. Source: Alexandria, functional PBE.

## Properties
Calculated volume, Å³/cell: 87.9
Offset from the most stable computed form, kJ/mol of atoms: 17.3
N(E_F), states/eV/f.u.: 2.51
Magnetic moment, μB per formula unit: 0.00

a b c (Å): 7.2244 2.8779 4.3482
angles (deg): 90.00 103.44 90.00
Space group C2/m (No. 12)
Inequivalent atoms, fractional coordinates:
Ir1 0.1753 0.0000 0.2096 (multiplicity 4)
S1 0.0000 0.5000 0.5000 (multiplicity 2)

20.
Crystalline Ir2S at its relaxed geometry. Source: Alexandria, functional PBE.

## Properties
Calculated volume, Å³/cell: 45.6
Offset from the most stable computed form, kJ/mol of atoms: 19.1
N(E_F), states/eV/f.u.: 1.77
Magnetic moment, μB per formula unit: 0.00

a b c (Å): 3.7908 3.3010 3.8625
angles (deg): 90.00 109.53 90.00
Space group Pm (No. 6)
Inequivalent atoms, fractional coordinates:
Ir1 0.0000 0.0000 0.0000 (multiplicity 1)
Ir2 0.3828 0.5000 0.6065 (multiplicity 1)
S1 0.7388 0.5000 0.2318 (multiplicity 1)